(1)
NaSr12Zn5: relaxed, PBE.

Calculated values
The formation energy is -0.10 eV per atom. The value obtained for the magnetic moment is 0.0 μB/f.u.

Structure (CIF):
```
data_NaSr12Zn5
_cell_length_a 10.899
_cell_length_b 11.305
_cell_length_c 11.905
_cell_angle_alpha 90.00
_cell_angle_beta 90.00
_cell_angle_gamma 90.00
_symmetry_space_group_name_H-M 'I m m m'
_symmetry_Int_Tables_number 71
_symmetry_space_group_name_Hall '-I 2 2'
loop_
_atom_site_label
_atom_site_fract_x
_atom_site_fract_y
_atom_site_fract_z
Na1 0.000 0.000 0.000
Sr1 0.000 0.191 0.271
Sr2 0.187 0.500 0.324
Sr3 0.225 0.322 0.000
Zn1 0.000 0.000 0.500
Zn2 0.000 0.352 0.500
Zn3 0.000 0.500 0.109
```

---

(2)
Ba3Mg9Zn2: relaxed, PBE.

Calculated values
The formation energy is -0.03 eV per atom. The value obtained for the magnetic moment is 0.0 μB/f.u.

Structure (CIF):
```
data_Ba3Mg9Zn2
_cell_length_a 5.060
_cell_length_b 11.382
_cell_length_c 14.534
_cell_angle_alpha 90.00
_cell_angle_beta 90.00
_cell_angle_gamma 90.00
_symmetry_space_group_name_H-M 'I m m m'
_symmetry_Int_Tables_number 71
_symmetry_space_group_name_Hall '-I 2 2'
loop_
_atom_site_label
_atom_site_fract_x
_atom_site_fract_y
_atom_site_fract_z
Ba1 0.000 0.000 0.000
Ba2 0.000 0.000 0.313
Mg1 0.000 0.282 0.110
Mg2 0.000 0.346 0.326
Mg3 0.000 0.500 0.000
Zn1 0.000 0.222 0.500
```

---

(3)
YMg2AgGe: relaxed, PBE.

Calculated values
The formation energy is 0.04 eV per atom. The value obtained for the magnetic moment is 0.0 μB/f.u.

Structure (CIF):
```
data_YMg2AgGe
_cell_length_a 4.940
_cell_length_b 4.940
_cell_length_c 5.535
_cell_angle_alpha 90.00
_cell_angle_beta 90.00
_cell_angle_gamma 90.00
_symmetry_space_group_name_H-M 'P 4/m m m'
_symmetry_Int_Tables_number 123
_symmetry_space_group_name_Hall '-P 4 2'
loop_
_atom_site_label
_atom_site_fract_x
_atom_site_fract_y
_atom_site_fract_z
Y1 0.000 0.000 0.000
Mg1 0.000 0.500 0.500
Ag1 0.500 0.500 0.000
Ge1 0.000 0.000 0.500
```

---

(4)
Dy2Hf2In3: relaxed, PBE.

Calculated values
The formation energy is -0.15 eV per atom. The value obtained for the magnetic moment is 0.0 μB/f.u.

Structure (CIF):
```
data_Dy2Hf2In3
_cell_length_a 4.698
_cell_length_b 22.707
_cell_length_c 3.216
_cell_angle_alpha 90.00
_cell_angle_beta 90.00
_cell_angle_gamma 90.00
_symmetry_space_group_name_H-M 'C m m m'
_symmetry_Int_Tables_number 65
_symmetry_space_group_name_Hall '-C 2 2'
loop_
_atom_site_label
_atom_site_fract_x
_atom_site_fract_y
_atom_site_fract_z
Dy1 0.000 0.074 0.000
Hf1 0.000 0.212 0.000
In1 0.000 0.342 0.500
In2 0.000 0.500 0.500
```

---

(5)
Cs3Rb2H: relaxed, PBE.

Calculated values
The value obtained for the magnetic moment is 0.0 μB/f.u. Its total DFT energy (no corrections) is -1.323 eV/atom.

Structure (CIF):
```
data_Cs3Rb2H
_cell_length_a 23.900
_cell_length_b 8.457
_cell_length_c 9.416
_cell_angle_alpha 90.00
_cell_angle_beta 101.35
_cell_angle_gamma 90.00
_symmetry_space_group_name_H-M 'C 1 2/c 1'
_symmetry_Int_Tables_number 15
loop_
_symmetry_equiv_pos_as_xyz
'x,y,z'
'-x,-y,-z'
'-x,y,-z+1/2'
'x,-y,z+1/2'
'x+1/2,y+1/2,z'
'-x+1/2,-y+1/2,-z'
'-x+1/2,y+1/2,-z+1/2'
'x+1/2,-y+1/2,z+1/2'
loop_
_atom_site_label
_atom_site_fract_x
_atom_site_fract_y
_atom_site_fract_z
Cs1 0.000 0.065 0.250
Cs2 0.089 0.499 0.545
Rb1 0.208 0.001 0.104
H1 0.000 0.433 0.250
```

---

(6)
SrLi3Al: relaxed, PBE.

Calculated values
The formation energy is -0.03 eV per atom. The energy above the most stable polymorph in this dataset is 1.8 kJ per mole of atoms. The value obtained for the magnetic moment is 0.0 μB/f.u.

Structure (CIF):
```
data_SrLi3Al
_cell_length_a 14.036
_cell_length_b 10.832
_cell_length_c 6.883
_cell_angle_alpha 90.00
_cell_angle_beta 103.51
_cell_angle_gamma 90.00
_symmetry_space_group_name_H-M 'C 1 2/c 1'
_symmetry_Int_Tables_number 15
loop_
_symmetry_equiv_pos_as_xyz
'x,y,z'
'-x,-y,-z'
'-x,y,-z+1/2'
'x,-y,z+1/2'
'x+1/2,y+1/2,z'
'-x+1/2,-y+1/2,-z'
'-x+1/2,y+1/2,-z+1/2'
'x+1/2,-y+1/2,z+1/2'
loop_
_atom_site_label
_atom_site_fract_x
_atom_site_fract_y
_atom_site_fract_z
Sr1 0.000 0.061 0.250
Sr2 0.000 0.356 0.750
Li1 0.189 0.170 0.082
Li2 0.199 0.174 0.607
Li3 0.204 0.497 0.605
Al1 0.096 0.343 0.303
```

---

(7)
ZrTiAlMo: relaxed, PBE.

Calculated values
The formation energy is -0.23 eV per atom. The value obtained for the magnetic moment is 0.0 μB/f.u.

Structure (CIF):
```
data_ZrTiAlMo
_cell_length_a 6.562
_cell_length_b 6.562
_cell_length_c 6.562
_cell_angle_alpha 90.00
_cell_angle_beta 90.00
_cell_angle_gamma 90.00
_symmetry_space_group_name_H-M 'F -4 3 m'
_symmetry_Int_Tables_number 216
_symmetry_space_group_name_Hall 'F -4 2 3'
loop_
_atom_site_label
_atom_site_fract_x
_atom_site_fract_y
_atom_site_fract_z
Zr1 0.000 0.000 0.000
Ti1 0.000 0.000 0.500
Al1 0.250 0.250 0.750
Mo1 0.250 0.250 0.250
```

---

(8)
NdCdCu5: relaxed, PBE.

Calculated values
The formation energy is -0.18 eV per atom. The value obtained for the magnetic moment is 0.0 μB/f.u.

Structure (CIF):
```
data_NdCdCu5
_cell_length_a 8.375
_cell_length_b 5.108
_cell_length_c 10.569
_cell_angle_alpha 90.00
_cell_angle_beta 90.00
_cell_angle_gamma 90.00
_symmetry_space_group_name_H-M 'P n m a'
_symmetry_Int_Tables_number 62
loop_
_symmetry_equiv_pos_as_xyz
'x,y,z'
'-x,-y,-z'
'-x+1/2,-y,z+1/2'
'x+1/2,y,-z+1/2'
'x+1/2,-y+1/2,-z+1/2'
'-x+1/2,y+1/2,z+1/2'
'-x,y+1/2,-z'
'x,-y+1/2,z'
loop_
_atom_site_label
_atom_site_fract_x
_atom_site_fract_y
_atom_site_fract_z
Nd1 0.245 0.250 0.063
Cd1 0.138 0.750 0.864
Cu1 0.054 0.750 0.110
Cu2 0.067 0.001 0.314
Cu3 0.083 0.250 0.516
Cu4 0.185 0.250 0.743
```

---

(9)
CaZr2Nb: relaxed, PBE.

Calculated values
The formation energy is 0.82 eV per atom. The energy above the most stable polymorph in this dataset is 41.0 kJ per mole of atoms. The value obtained for the magnetic moment is 0.0 μB/f.u.

Structure (CIF):
```
data_CaZr2Nb
_cell_length_a 4.360
_cell_length_b 4.360
_cell_length_c 20.767
_cell_angle_alpha 90.00
_cell_angle_beta 90.00
_cell_angle_gamma 90.00
_symmetry_space_group_name_H-M 'I -4 2 d'
_symmetry_Int_Tables_number 122
_symmetry_space_group_name_Hall 'I -4 2bw'
loop_
_atom_site_label
_atom_site_fract_x
_atom_site_fract_y
_atom_site_fract_z
Ca1 0.000 0.000 0.000
Zr1 0.226 0.250 0.625
Nb1 0.000 0.000 0.500
```

---

(10)
Tl2In2Hg: relaxed, PBE.

Calculated values
The formation energy is 0.02 eV per atom. The energy above the most stable polymorph in this dataset is 1.8 kJ per mole of atoms. The value obtained for the magnetic moment is 0.0 μB/f.u.

Structure (CIF):
```
data_Tl2In2Hg
_cell_length_a 3.405
_cell_length_b 3.405
_cell_length_c 24.735
_cell_angle_alpha 90.00
_cell_angle_beta 90.00
_cell_angle_gamma 90.00
_symmetry_space_group_name_H-M 'I 4/m m m'
_symmetry_Int_Tables_number 139
_symmetry_space_group_name_Hall '-I 4 2'
loop_
_atom_site_label
_atom_site_fract_x
_atom_site_fract_y
_atom_site_fract_z
Tl1 0.000 0.000 0.101
In1 0.000 0.000 0.297
Hg1 0.000 0.000 0.500
```

---

(11)
BaScTaO2: relaxed, PBE.

Calculated values
The calculation puts the energy relative to the elements, uncorrected at 0.0704 eV/atom. The value obtained for the magnetic moment is 2.9 μB/f.u.

Structure (CIF):
```
data_BaScTaO2
_cell_length_a 4.190
_cell_length_b 4.190
_cell_length_c 6.345
_cell_angle_alpha 90.00
_cell_angle_beta 90.00
_cell_angle_gamma 90.00
_symmetry_space_group_name_H-M 'P 4/m m m'
_symmetry_Int_Tables_number 123
_symmetry_space_group_name_Hall '-P 4 2'
loop_
_atom_site_label
_atom_site_fract_x
_atom_site_fract_y
_atom_site_fract_z
Ba1 0.000 0.000 0.000
Sc1 0.000 0.000 0.500
Ta1 0.500 0.500 0.000
O1 0.000 0.500 0.500
```

---

(12)
VCuNiGe: relaxed, PBE.

Calculated values
The formation energy is -0.01 eV per atom. The value obtained for the magnetic moment is 1.6 μB/f.u.

Structure (CIF):
```
data_VCuNiGe
_cell_length_a 5.889
_cell_length_b 5.889
_cell_length_c 5.889
_cell_angle_alpha 90.00
_cell_angle_beta 90.00
_cell_angle_gamma 90.00
_symmetry_space_group_name_H-M 'F -4 3 m'
_symmetry_Int_Tables_number 216
_symmetry_space_group_name_Hall 'F -4 2 3'
loop_
_atom_site_label
_atom_site_fract_x
_atom_site_fract_y
_atom_site_fract_z
V1 0.000 0.000 0.000
Cu1 0.250 0.250 0.250
Ni1 0.250 0.250 0.750
Ge1 0.000 0.000 0.500
```